[1]
# Ta3S2

Ta3S2 after structural relaxation (GGA-PBEsol, Alexandria).

a b c (Å): 5.5708 7.4489 9.0145
angles (deg): 90.00 108.00 90.00
Closest atoms and distances in Å follow each position.
Positions (direct):
1 S 0.4096 0.8276 0.0787  4 Ta 2.43-2.65
2 Ta 0.3866 0.8946 0.7857  4 S 2.42-2.65
3 Ta 0.1653 0.2812 0.3326  3 S 2.43-2.51
4 S 0.2545 0.5830 0.7685  4 Ta 2.42-2.51
5 Ta 0.3327 0.2812 0.6674  3 S 2.43-2.51
6 S 0.9096 0.1724 0.0787  4 Ta 2.43-2.65
7 Ta 0.6653 0.7188 0.3326  3 S 2.43-2.51
8 Ta 0.8327 0.7188 0.6674  3 S 2.43-2.51
9 S 0.3309 0.1724 0.9213  4 Ta 2.43-2.65
10 Ta 0.1009 0.8946 0.2143  4 S 2.42-2.65
11 Ta 0.2295 0.6544 0.5000  2 S 2.44
12 S 0.7545 0.4170 0.7685  4 Ta 2.42-2.51
13 Ta 0.4946 0.9950 0.5000  12 Ta 2.79-2.94
14 Ta 0.9946 0.0050 0.5000  12 Ta 2.79-2.94
15 S 0.9860 0.5830 0.2315  4 Ta 2.42-2.51
16 Ta 0.8866 0.1054 0.7857  4 S 2.42-2.65
17 Ta 0.7295 0.3456 0.5000  2 S 2.44
18 Ta 0.6009 0.1054 0.2143  4 S 2.42-2.65
19 S 0.8309 0.8276 0.9213  4 Ta 2.43-2.65
20 S 0.4860 0.4170 0.2315  4 Ta 2.42-2.51

Values from the calculation:
For the calculated total energy, the calculation gives -202.1 eV for the cell shown. For the mass density, the calculation gives 11.33 g/cm³. As for the uncorrected formation energy: -0.820 eV per atom. The value obtained for the density of states at the Fermi level is 0.46 states/eV/f.u.

***

[2]
# RbLaGa3

RbLaGa3 after structural relaxation (GGA-PBEsol, Alexandria).

a b c (Å): 5.7151 5.7151 5.7151
angles (deg): 90.00 90.00 90.00
Closest atoms and distances in Å follow each position.
Positions (direct):
1 Ga 0.5000 0.0000 0.0000  2 La 2.86
2 Rb 0.5000 0.5000 0.5000  12 Ga 4.04
3 Ga 0.0000 0.0000 0.5000  2 La 2.86
4 La 0.0000 0.0000 0.0000  6 Ga 2.86
5 Ga 0.0000 0.5000 0.0000  2 La 2.86

Values from the calculation:
For the calculated total energy, the calculation gives -14.1 eV for the cell shown. The value obtained for the formation energy is 0.45 eV per atom. For the mass density, the calculation gives 3.86 g/cm³. The value obtained for the density of states at the Fermi level is 6.77 states/eV/f.u.

***

[3]
# Re2PtRh

Re2PtRh after structural relaxation (GGA-PBEsol, Alexandria).

a b c (Å): 2.7084 4.3712 4.8134
angles (deg): 90.00 90.00 90.00
Closest atoms and distances in Å follow each position.
Positions (direct):
1 Re 0.0000 0.0000 0.0312  4 Re 2.67-2.71, 4 Pt 2.72, 4 Rh 2.73-2.79
2 Pt 0.5000 0.5000 0.2160  2 Rh 2.68, 2 Pt 2.71, 8 Re 2.72-2.77
3 Rh 0.5000 0.0000 0.5391  2 Pt 2.68, 8 Re 2.71-2.79, 2 Rh 2.71
4 Re 0.0000 0.5000 0.7137  4 Re 2.67-2.71, 4 Rh 2.71, 4 Pt 2.75-2.77

Values from the calculation:
For the calculated total energy, the calculation gives -42.4 eV for the cell shown. The value obtained for the formation energy is -0.15 eV per atom. For the mass density, the calculation gives 19.54 g/cm³. The value obtained for the density of states at the Fermi level is 3.15 states/eV/f.u. The calculation puts the energy above the most stable polymorph in this dataset at 0.0 kJ/mol of atoms.

***

[4]
# CuOs2Ru

CuOs2Ru after structural relaxation (GGA-PBEsol, Alexandria).

a b c (Å): 2.6253 2.6253 8.9897
angles (deg): 90.00 90.00 117.68
Closest atoms and distances in Å follow each position.
Positions (direct):
1 Os 0.0000 0.0000 0.0042  2 Cu 2.60, 8 Os 2.63-2.72
2 Os 0.5000 0.5000 0.7481  8 Os 2.63-2.72, 2 Ru 2.64
3 Ru 0.0000 0.0000 0.4964  2 Cu 2.59, 6 Ru 2.63-2.72, 2 Os 2.64
4 Cu 0.5000 0.5000 0.2514  2 Ru 2.59, 2 Os 2.60, 6 Cu 2.63-2.72

Values from the calculation:
For the calculated total energy, the calculation gives -36.6 eV for the cell shown. The value obtained for the formation energy is 0.59 eV per atom. For the mass density, the calculation gives 16.50 g/cm³. The value obtained for the density of states at the Fermi level is 5.45 states/eV/f.u. The calculation puts the energy above the most stable polymorph in this dataset at 31.7 kJ/mol of atoms.